# Ba2PdI2 (GGA-PBE, optimized geometry)
# Total magnetization: 0.000 μB per formula unit
# ΔE_f (raw): -1.1559 eV/atom
# Space group: No. 72
# Crystal system: orthorhombic
data_Ba2PdI2
_chemical_formula_sum 'Ba4 Pd2 I4'
_space_group_name_H-M_alt 'P 1'
_space_group_IT_number 1
_cell_length_a 7.158
_cell_length_b 8.921
_cell_length_c 8.976
_cell_angle_alpha 119.80
_cell_angle_beta 113.50
_cell_angle_gamma 90.00
loop_
_space_group_symop_operation_xyz
'x,y,z'
loop_
_atom_site_label
_atom_site_fract_x
_atom_site_fract_y
_atom_site_fract_z
Ba1 0.391 0.613 0.783
Ba2 0.609 0.387 0.217
Ba3 0.109 0.831 0.217
Ba4 0.891 0.169 0.783
Pd1 0.750 0.500 0.000
Pd2 0.250 0.500 0.000
I1 0.860 0.724 0.720
I2 0.140 0.276 0.280
I3 0.640 0.004 0.280
I4 0.360 0.996 0.720



# Ba2PdI2 (GGA-PBE, optimized geometry)
# Total magnetization: 0.000 μB per formula unit
# ΔE_f (raw): -0.7451 eV/atom
# Space group: No. 139
# Crystal system: tetragonal
data_Ba2PdI2
_chemical_formula_sum 'Ba2 Pd1 I2'
_space_group_name_H-M_alt 'P 1'
_space_group_IT_number 1
_cell_length_a 5.201
_cell_length_b 5.201
_cell_length_c 9.233
_cell_angle_alpha 73.64
_cell_angle_beta 73.64
_cell_angle_gamma 90.00
loop_
_space_group_symop_operation_xyz
'x,y,z'
loop_
_atom_site_label
_atom_site_fract_x
_atom_site_fract_y
_atom_site_fract_z
I1 0.750 0.250 0.500
I2 0.250 0.750 0.500
Ba1 0.383 0.383 0.234
Ba2 0.617 0.617 0.766
Pd1 0.000 0.000 0.000



# Ba2PdI (GGA-PBE, optimized geometry)
# Total magnetization: 0.000 μB per formula unit
# ΔE_f (raw): -0.8972 eV/atom
# Space group: No. 123
# Crystal system: tetragonal
data_Ba2PdI
_chemical_formula_sum 'Ba2 Pd1 I1'
_space_group_name_H-M_alt 'P 1'
_space_group_IT_number 1
_cell_length_a 4.043
_cell_length_b 4.043
_cell_length_c 8.797
_cell_angle_alpha 90.00
_cell_angle_beta 90.00
_cell_angle_gamma 90.00
loop_
_space_group_symop_operation_xyz
'x,y,z'
loop_
_atom_site_label
_atom_site_fract_x
_atom_site_fract_y
_atom_site_fract_z
I1 0.500 0.500 0.500
Ba1 0.000 0.000 0.788
Ba2 0.000 0.000 0.212
Pd1 0.500 0.500 0.000



What are the calculated total energy values for these records? In order: -3.584, -3.173, -3.544 eV per atom.
What are the E above lowest polymorph values for these records? In order: 0.0, 410.8, 94.6 meV per atom.